{
  "formula": "CsHgS2O6",
  "functional": "GGA-PBE",
  "state": "relaxed",
  "lattice": [[-2.954, -8.157, 1.780], [-0.659, 1.344, 8.729], [-5.384, 1.736, -0.595]],
  "species": ["Cs", "Cs", "Hg", "Hg", "S", "S", "S", "S", "O", "O", "O", "O", "O", "O", "O", "O", "O", "O", "O", "O"],
  "frac_coords": [[0.673, 0.327, 0.250], [0.327, 0.673, 0.750], [0.007, 0.993, 0.250], [0.993, 0.007, 0.750], [0.352, 0.197, 0.785], [0.803, 0.648, 0.715], [0.648, 0.803, 0.215], [0.197, 0.352, 0.285], [0.035, 0.345, 0.245], [0.655, 0.965, 0.255], [0.965, 0.655, 0.755], [0.345, 0.035, 0.745], [0.299, 0.227, 0.178], [0.773, 0.701, 0.322], [0.701, 0.773, 0.822], [0.227, 0.299, 0.678], [0.256, 0.502, 0.258], [0.498, 0.744, 0.242], [0.744, 0.498, 0.742], [0.502, 0.256, 0.758]],
  "crystal_system": "monoclinic",
  "density_kg_m3": 3688,
  "dft_energy_ev_per_atom": -5.075,
  "space_group": "C2/c, No. 15",
  "vol_a3_per_atom": 22.23,
  "magnetic_moment_mub_per_cell": 0.00,
  "raw_formation_energy_ev_per_fu": -11.59
}